(1)
The following is a DFT calculation (PBEsol) of crystalline Zr2ZnAu at its relaxed geometry.

Its calculated density is 10.08 g cm⁻³. The density of states at the Fermi level comes out at 7.90 states/eV per cell. As for the spin magnetization: 0.0 μB/f.u.

It has space group Cmmm (No. 65), with a = 5.873 Å, b = 8.129 Å, c = 3.068 Å, α = 90.00°, β = 90.00° and γ = 90.00°. The inequivalent atoms are Zr at (0.250, 0.250, 0.000), Zn at (0.000, 0.000, 0.500) and Au at (0.000, 0.500, 0.500).

---

(2)
The following is a DFT calculation (PBEsol) of crystalline Zr2ZnAu at its relaxed geometry.

Its calculated density is 10.04 g cm⁻³. The density of states at the Fermi level comes out at 4.06 states/eV per cell. As for the spin magnetization: 0.0 μB/f.u.

It has space group P4/mmm (No. 123), with a = 3.070 Å, b = 3.070 Å, c = 7.803 Å, α = 90.00°, β = 90.00° and γ = 90.00°. The inequivalent atoms are Zr at (0.000, 0.000, 0.242), Zn at (0.500, 0.500, 0.000) and Au at (0.500, 0.500, 0.500).

---

(3)
The following is a DFT calculation (PBEsol) of crystalline Zr2ZnAu at its relaxed geometry.

Its calculated density is 9.89 g cm⁻³. The density of states at the Fermi level comes out at 5.73 states/eV per cell. As for the spin magnetization: 0.0 μB/f.u.

It has space group Imm2 (No. 44), with a = 3.296 Å, b = 4.650 Å, c = 9.743 Å, α = 90.00°, β = 90.00° and γ = 90.00°. The inequivalent atoms are Zr at (0.000, 0.000, 0.000), Zr at (0.000, 0.500, 0.236), Zn at (0.000, 0.000, 0.470) and Au at (0.000, 0.500, 0.757).

---

(4)
The following is a DFT calculation (PBEsol) of crystalline ZrZnAu2 at its relaxed geometry.

Its calculated density is 13.17 g cm⁻³. The density of states at the Fermi level comes out at 2.46 states/eV per cell. As for the spin magnetization: 0.0 μB/f.u.

It has space group P4mm (No. 99), with a = 3.347 Å, b = 3.347 Å, c = 6.195 Å, α = 90.00°, β = 90.00° and γ = 90.00°. The inequivalent atoms are Zr at (0.000, 0.000, 0.000), Zn at (0.500, 0.500, 0.718), Au at (0.000, 0.000, 0.518) and Au at (0.500, 0.500, 0.252).

---

(5)
The following is a DFT calculation (PBEsol) of crystalline Zr2ZnAu at its relaxed geometry.

Its calculated density is 10.07 g cm⁻³. The density of states at the Fermi level comes out at 3.81 states/eV per cell. As for the spin magnetization: 0.0 μB/f.u.

It has space group Pmmm (No. 47), with a = 3.181 Å, b = 3.993 Å, c = 5.777 Å, α = 90.00°, β = 90.00° and γ = 90.00°. The inequivalent atoms are Zr at (0.000, 0.000, 0.247), Zn at (0.500, 0.500, 0.000) and Au at (0.500, 0.500, 0.500).

---

(6)
The following is a DFT calculation (PBEsol) of crystalline ZrZnAu2 at its relaxed geometry.

Its calculated density is 13.48 g cm⁻³. The density of states at the Fermi level comes out at 2.72 states/eV per cell. As for the spin magnetization: 0.0 μB/f.u.

It has space group I-4m2 (No. 119), with a = 4.582 Å, b = 4.582 Å, c = 6.462 Å, α = 90.00°, β = 90.00° and γ = 90.00°. The inequivalent atoms are Zr at (0.000, 0.000, 0.000), Zn at (0.000, 0.500, 0.750), Au at (0.000, 0.000, 0.500) and Au at (0.000, 0.500, 0.250).

---

(7)
The following is a DFT calculation (PBEsol) of crystalline Zr3Au4 at its relaxed geometry.

Its calculated density is 13.36 g cm⁻³. The density of states at the Fermi level comes out at 8.28 states/eV per cell. As for the spin magnetization: 0.0 μB/f.u.

It has space group I4/mmm (No. 139), with a = 3.520 Å, b = 3.520 Å, c = 21.297 Å, α = 90.00°, β = 90.00° and γ = 90.00°. The inequivalent atoms are Zr at (0.000, 0.000, 0.000), Zr at (0.000, 0.000, 0.294), Au at (0.000, 0.000, 0.139) and Au at (0.000, 0.000, 0.432).

---

(8)
The following is a DFT calculation (PBEsol) of crystalline ZrAu3 at its relaxed geometry.

Its calculated density is 15.70 g cm⁻³. The density of states at the Fermi level comes out at 3.75 states/eV per cell. As for the spin magnetization: 0.0 μB/f.u.

It has space group Cmmm (No. 65), with a = 6.146 Å, b = 7.966 Å, c = 2.946 Å, α = 90.00°, β = 90.00° and γ = 90.00°. The inequivalent atoms are Zr at (0.000, 0.000, 0.000), Au at (0.000, 0.500, 0.000) and Au at (0.250, 0.250, 0.500).

---

One value per record, in order, for energy of formation: -0.39; -0.40; -0.34; -0.35; -0.40; -0.45; -0.61; -0.23 eV/atom.